Crystalline HfBe2Te at its relaxed geometry. Source: Alexandria, functional PBE.

Summary:
SG ... I-42d
Uncorrected formation energy ... 0.42 eV per atom

a b c (Å): 5.7294 5.7294 5.7294
angles (deg): 103.96 103.96 121.16
Closest atoms and distances in Å follow each position.
Element x y z (fractional)
Hf (0.0000, 0.0000, 0.0000)  4 Be 2.71, 2 Te 2.81
Hf (0.7500, 0.2500, 0.5000)  4 Be 2.71, 2 Te 2.81
Be (0.1492, 0.6250, 0.0242)  2 Te 2.48, 2 Hf 2.71
Be (0.3750, 0.3992, 0.5242)  2 Te 2.48, 2 Hf 2.71
Be (0.6008, 0.1250, 0.9758)  2 Te 2.48, 2 Hf 2.71
Be (0.8750, 0.8508, 0.4758)  2 Te 2.48, 2 Hf 2.71
Te (0.2500, 0.7500, 0.5000)  4 Be 2.48
Te (0.5000, 0.5000, 0.0000)  4 Be 2.48

***

Crystalline HfBeTe3 at its relaxed geometry. Source: Alexandria, functional PBE.

Summary:
SG ... Pm-3m
Uncorrected formation energy ... 0.45 eV per atom
Offset from the most stable computed form ... 65 meV/atom

a b c (Å): 5.5512 5.5512 5.5512
angles (deg): 90.00 90.00 90.00
Closest atoms and distances in Å follow each position.
Element x y z (fractional)
Hf (0.0000, 0.0000, 0.0000)  6 Te 2.78
Be (0.5000, 0.5000, 0.5000)  12 Te 3.93
Te (0.0000, 0.0000, 0.5000)  2 Hf 2.78
Te (0.0000, 0.5000, 0.0000)  2 Hf 2.78
Te (0.5000, 0.0000, 0.0000)  2 Hf 2.78

***

Crystalline HfBe3Te at its relaxed geometry. Source: Alexandria, functional PBE.

Summary:
SG ... Pm-3m
Uncorrected formation energy ... 1.56 eV per atom
Offset from the most stable computed form ... 220 meV/atom

a b c (Å): 4.7640 4.7640 4.7640
angles (deg): 90.00 90.00 90.00
Closest atoms and distances in Å follow each position.
Element x y z (fractional)
Hf (0.0000, 0.0000, 0.0000)  6 Be 2.38
Be (0.0000, 0.0000, 0.5000)  2 Hf 2.38
Be (0.0000, 0.5000, 0.0000)  2 Hf 2.38
Be (0.5000, 0.0000, 0.0000)  2 Hf 2.38
Te (0.5000, 0.5000, 0.5000)  12 Be 3.37

***

Crystalline Hf3BeTe at its relaxed geometry. Source: Alexandria, functional PBE.

Summary:
SG ... Pm-3m
Uncorrected formation energy ... 0.15 eV per atom
Offset from the most stable computed form ... 0 meV/atom

a b c (Å): 4.6968 4.6968 4.6968
angles (deg): 90.00 90.00 90.00
Closest atoms and distances in Å follow each position.
Element x y z (fractional)
Hf (0.0000, 0.0000, 0.5000)  2 Be 2.35
Hf (0.0000, 0.5000, 0.0000)  2 Be 2.35
Hf (0.5000, 0.0000, 0.0000)  2 Be 2.35
Be (0.0000, 0.0000, 0.0000)  6 Hf 2.35
Te (0.5000, 0.5000, 0.5000)  12 Hf 3.32

***

Crystalline HfBe3Te at its relaxed geometry. Source: Alexandria, functional PBE.

Summary:
SG ... Pm-3m
Uncorrected formation energy ... 1.34 eV per atom
Offset from the most stable computed form ... 0 meV/atom

a b c (Å): 4.5493 4.5493 4.5493
angles (deg): 90.00 90.00 90.00
Closest atoms and distances in Å follow each position.
Element x y z (fractional)
Hf (0.0000, 0.0000, 0.0000)  12 Be 3.22
Be (0.0000, 0.5000, 0.5000)  2 Te 2.27
Be (0.5000, 0.0000, 0.5000)  2 Te 2.27
Be (0.5000, 0.5000, 0.0000)  2 Te 2.27
Te (0.5000, 0.5000, 0.5000)  6 Be 2.27

***

Crystalline Hf2BeTe at its relaxed geometry. Source: Alexandria, functional PBE.

Summary:
SG ... Fm-3m
Uncorrected formation energy ... 0.12 eV per atom
Offset from the most stable computed form ... 370 meV/atom

a b c (Å): 4.7875 4.7875 4.7875
angles (deg): 60.00 60.00 60.00
Closest atoms and distances in Å follow each position.
Element x y z (fractional)
Hf (0.2500, 0.2500, 0.2500)  4 Te 2.93, 4 Be 2.93
Hf (0.7500, 0.7500, 0.7500)  4 Te 2.93, 4 Be 2.93
Be (0.0000, 0.0000, 0.0000)  8 Hf 2.93
Te (0.5000, 0.5000, 0.5000)  8 Hf 2.93

***

Crystalline Hf2Be2Te at its relaxed geometry. Source: Alexandria, functional PBE.

Summary:
SG ... P4/mbm
Uncorrected formation energy ... -0.13 eV per atom

a b c (Å): 6.5191 6.5191 3.8098
angles (deg): 90.00 90.00 90.00
Closest atoms and distances in Å follow each position.
Element x y z (fractional)
Hf (0.1739, 0.3261, 0.0000)  6 Be 2.69-2.74
Hf (0.3261, 0.8261, 0.0000)  6 Be 2.69-2.74
Hf (0.6739, 0.1739, 0.0000)  6 Be 2.69-2.74
Hf (0.8261, 0.6739, 0.0000)  6 Be 2.69-2.74
Be (0.1117, 0.6117, 0.5000)  1 Be 2.06
Be (0.3883, 0.1117, 0.5000)  1 Be 2.06
Be (0.6117, 0.8883, 0.5000)  1 Be 2.06
Be (0.8883, 0.3883, 0.5000)  1 Be 2.06
Te (0.0000, 0.0000, 0.5000)  4 Be 2.63
Te (0.5000, 0.5000, 0.5000)  4 Be 2.63

***

Crystalline HfBeV2Te at its relaxed geometry. Source: Alexandria, functional PBE.

Summary:
SG ... P4/mmm
Uncorrected formation energy ... 0.39 eV per atom

a b c (Å): 4.2426 4.2426 4.6745
angles (deg): 90.00 90.00 90.00
Closest atoms and distances in Å follow each position.
Element x y z (fractional)
Hf (0.0000, 0.0000, 0.0000)  2 Be 2.34
Be (0.0000, 0.0000, 0.5000)  4 V 2.12, 2 Hf 2.34
V (0.0000, 0.5000, 0.5000)  2 Be 2.12
V (0.5000, 0.0000, 0.5000)  2 Be 2.12
Te (0.5000, 0.5000, 0.0000)  4 Hf 3.00, 8 V 3.16

***

Crystalline HfZr2BeTe at its relaxed geometry. Source: Alexandria, functional PBE.

Summary:
SG ... P4/mmm
Uncorrected formation energy ... 0.77 eV per atom

a b c (Å): 5.3236 5.3236 4.3399
angles (deg): 90.00 90.00 90.00
Closest atoms and distances in Å follow each position.
Element x y z (fractional)
Hf (0.0000, 0.0000, 0.0000)  8 Zr 3.43, 4 Be 3.76
Zr (0.0000, 0.5000, 0.5000)  2 Te 2.66
Zr (0.5000, 0.0000, 0.5000)  2 Te 2.66
Be (0.5000, 0.5000, 0.0000)  2 Te 2.17
Te (0.5000, 0.5000, 0.5000)  2 Be 2.17

***

Crystalline HfThBe at its relaxed geometry. Source: Alexandria, functional PBE.

Summary:
SG ... R-3m
DFT formation energy ... 0.329 eV per atom

a b c (Å): 7.9155 7.9155 7.9155
angles (deg): 33.75 33.75 33.75
Closest atoms and distances in Å follow each position.
Element x y z (fractional)
Hf (0.1303, 0.1303, 0.1303)  4 Be 2.52-2.80
Hf (0.8697, 0.8697, 0.8697)  4 Be 2.52-2.80
Th (0.3798, 0.3798, 0.3798)  4 Be 2.83-3.06
Th (0.6202, 0.6202, 0.6202)  4 Be 2.83-3.06
Be (0.2431, 0.2431, 0.2431)  4 Hf 2.52-2.80
Be (0.7569, 0.7569, 0.7569)  4 Hf 2.52-2.80

***

Crystalline HfTi2Be at its relaxed geometry. Source: Alexandria, functional PBE.

Summary:
SG ... P4/mmm
DFT formation energy ... 0.009 eV per atom

a b c (Å): 3.0231 3.0231 7.1589
angles (deg): 90.00 90.00 90.00
Closest atoms and distances in Å follow each position.
Element x y z (fractional)
Hf (0.0000, 0.0000, 0.0000)  8 Ti 3.00, 4 Hf 3.02
Ti (0.5000, 0.5000, 0.2943)  4 Be 2.60
Ti (0.5000, 0.5000, 0.7057)  4 Be 2.60
Be (0.0000, 0.0000, 0.5000)  8 Ti 2.60

***

Crystalline HfTiBe4 at its relaxed geometry. Source: Alexandria, functional PBE.

Summary:
SG ... F-43m
DFT formation energy ... -0.144 eV per atom

a b c (Å): 4.6690 4.6690 4.6690
angles (deg): 60.00 60.00 60.00
Closest atoms and distances in Å follow each position.
Element x y z (fractional)
Hf (0.0000, 0.0000, 0.0000)  12 Be 2.74, 4 Ti 2.86
Ti (0.2500, 0.2500, 0.2500)  12 Be 2.74, 4 Hf 2.86
Be (0.1260, 0.6247, 0.6247)  6 Be 2.33-2.34
Be (0.6247, 0.1260, 0.6247)  6 Be 2.33-2.34
Be (0.6247, 0.6247, 0.1260)  6 Be 2.33-2.34
Be (0.6247, 0.6247, 0.6247)  6 Be 2.33-2.34

***

Crystalline HfTi2Be9 at its relaxed geometry. Source: Alexandria, functional PBE.

Summary:
SG ... P6_3/mmc
DFT formation energy ... -0.229 eV per atom

a b c (Å): 4.5391 4.5391 14.2761
angles (deg): 90.00 90.00 120.00
Closest atoms and distances in Å follow each position.
Element x y z (fractional)
Hf (0.3333, 0.6667, 0.2500)  18 Be 2.62-2.87
Hf (0.6667, 0.3333, 0.7500)  18 Be 2.62-2.87
Ti (0.3333, 0.6667, 0.0343)  12 Be 2.63-2.67, 3 Ti 2.80
Ti (0.3333, 0.6667, 0.4657)  12 Be 2.63-2.67, 3 Ti 2.80
Ti (0.6667, 0.3333, 0.5343)  12 Be 2.63-2.67, 3 Ti 2.80
Ti (0.6667, 0.3333, 0.9657)  12 Be 2.63-2.67, 3 Ti 2.80
Be (0.0000, 0.0000, 0.0000)  6 Be 2.24
Be (0.0000, 0.0000, 0.2500)  6 Be 2.19
Be (0.0000, 0.0000, 0.5000)  6 Be 2.24
Be (0.0000, 0.0000, 0.7500)  6 Be 2.19
Be (0.1675, 0.3350, 0.6270)  7 Be 2.19-2.28
Be (0.1675, 0.3350, 0.8730)  7 Be 2.19-2.28
Be (0.1675, 0.8325, 0.6270)  7 Be 2.19-2.28
Be (0.1675, 0.8325, 0.8730)  7 Be 2.19-2.28
Be (0.3333, 0.6667, 0.7500)  6 Be 2.19
Be (0.3350, 0.1675, 0.1270)  7 Be 2.19-2.28
Be (0.3350, 0.1675, 0.3730)  7 Be 2.19-2.28
Be (0.6650, 0.8325, 0.6270)  7 Be 2.19-2.28
Be (0.6650, 0.8325, 0.8730)  7 Be 2.19-2.28
Be (0.6667, 0.3333, 0.2500)  6 Be 2.19
Be (0.8325, 0.1675, 0.1270)  7 Be 2.19-2.28
Be (0.8325, 0.1675, 0.3730)  7 Be 2.19-2.28
Be (0.8325, 0.6650, 0.1270)  7 Be 2.19-2.28
Be (0.8325, 0.6650, 0.3730)  7 Be 2.19-2.28

***

Crystalline Hf2TiBe at its relaxed geometry. Source: Alexandria, functional PBE.

Summary:
SG ... P4/mmm
DFT formation energy ... 0.068 eV per atom
Offset from the most stable computed form ... 59 meV/atom

a b c (Å): 4.2009 4.2009 3.9924
angles (deg): 90.00 90.00 90.00
Closest atoms and distances in Å follow each position.
Element x y z (fractional)
Hf (0.0000, 0.5000, 0.0000)  4 Be 2.90, 4 Ti 2.90, 4 Hf 2.97
Hf (0.5000, 0.0000, 0.0000)  4 Be 2.90, 4 Ti 2.90, 4 Hf 2.97
Ti (0.0000, 0.0000, 0.5000)  8 Hf 2.90, 4 Be 2.97
Be (0.5000, 0.5000, 0.5000)  8 Hf 2.90, 4 Ti 2.97

***

Crystalline HfTi2Be at its relaxed geometry. Source: Alexandria, functional PBE.

Summary:
SG ... R-3m
DFT formation energy ... 0.616 eV per atom

a b c (Å): 10.1288 10.1288 10.1288
angles (deg): 16.60 16.60 16.60
Closest atoms and distances in Å follow each position.
Element x y z (fractional)
Hf (0.0000, 0.0000, 0.0000)  6 Hf 2.92, 6 Ti 2.98
Ti (0.4151, 0.4151, 0.4151)  1 Be 2.54
Ti (0.5849, 0.5849, 0.5849)  1 Be 2.54
Be (0.5000, 0.5000, 0.5000)  2 Ti 2.54

***

Crystalline HfTi3Be at its relaxed geometry. Source: Alexandria, functional PBE.

Summary:
SG ... Pm-3m
DFT formation energy ... 0.403 eV per atom
Offset from the most stable computed form ... 0 meV/atom

a b c (Å): 4.4743 4.4743 4.4743
angles (deg): 90.00 90.00 90.00
Closest atoms and distances in Å follow each position.
Element x y z (fractional)
Hf (0.0000, 0.0000, 0.0000)  12 Ti 3.16
Ti (0.0000, 0.5000, 0.5000)  2 Be 2.24
Ti (0.5000, 0.0000, 0.5000)  2 Be 2.24
Ti (0.5000, 0.5000, 0.0000)  2 Be 2.24
Be (0.5000, 0.5000, 0.5000)  6 Ti 2.24

***

Crystalline HfTi2Be at its relaxed geometry. Source: Alexandria, functional PBE.

Summary:
SG ... I-42d
DFT formation energy ... 0.347 eV per atom

a b c (Å): 5.7183 5.7183 5.7183
angles (deg): 102.13 102.13 125.43
Closest atoms and distances in Å follow each position.
Element x y z (fractional)
Hf (0.0000, 0.0000, 0.0000)  2 Be 2.62, 4 Ti 2.85
Hf (0.7500, 0.2500, 0.5000)  2 Be 2.62, 4 Ti 2.85
Ti (0.1695, 0.6250, 0.0445)  2 Be 2.42, 2 Ti 2.70
Ti (0.3750, 0.4195, 0.5445)  2 Be 2.42, 2 Ti 2.70
Ti (0.5805, 0.1250, 0.9555)  2 Be 2.42, 2 Ti 2.70
Ti (0.8750, 0.8305, 0.4555)  2 Be 2.42, 2 Ti 2.70
Be (0.2500, 0.7500, 0.5000)  4 Ti 2.42, 2 Hf 2.62
Be (0.5000, 0.5000, 0.0000)  4 Ti 2.42, 2 Hf 2.62

***

Crystalline Hf2TiBe at its relaxed geometry. Source: Alexandria, functional PBE.

Summary:
SG ... P4/mmm
DFT formation energy ... 0.009 eV per atom
Offset from the most stable computed form ... 0 meV/atom

a b c (Å): 3.1076 3.1076 7.3589
angles (deg): 90.00 90.00 90.00
Closest atoms and distances in Å follow each position.
Element x y z (fractional)
Hf (0.0000, 0.0000, 0.2220)  4 Be 2.74, 4 Ti 3.00
Hf (0.0000, 0.0000, 0.7780)  4 Be 2.74, 4 Ti 3.00
Ti (0.5000, 0.5000, 0.5000)  8 Hf 3.00, 4 Ti 3.11
Be (0.5000, 0.5000, 0.0000)  8 Hf 2.74

***

Crystalline HfTiBe at its relaxed geometry. Source: Alexandria, functional PBE.

Summary:
SG ... P3m1
DFT formation energy ... 0.450 eV per atom
Offset from the most stable computed form ... 197 meV/atom

a b c (Å): 4.5500 4.5500 2.7351
angles (deg): 90.00 90.00 120.00
Closest atoms and distances in Å follow each position.
Element x y z (fractional)
Hf (0.0000, 0.0000, 0.0000)  3 Ti 2.63, 2 Hf 2.74
Ti (0.6667, 0.3333, 0.0007)  3 Hf 2.63, 2 Ti 2.74
Be (0.3333, 0.6667, 0.4982)  2 Be 2.74, 6 Ti 2.96, 6 Hf 2.96

***

Crystalline HfTiBe at its relaxed geometry. Source: Alexandria, functional PBE.

Summary:
SG ... R3
DFT formation energy ... 0.253 eV per atom
Offset from the most stable computed form ... 0 meV/atom

a b c (Å): 6.6737 6.6737 6.6737
angles (deg): 48.40 48.40 48.40
Closest atoms and distances in Å follow each position.
Element x y z (fractional)
Hf (0.0003, 0.3528, 0.6470)  3 Be 2.44-2.63
Hf (0.3528, 0.6470, 0.0003)  3 Be 2.44-2.63
Hf (0.6470, 0.0003, 0.3528)  3 Be 2.44-2.63
Ti (0.0905, 0.9294, 0.5155)  3 Be 2.35-2.59
Ti (0.5155, 0.0905, 0.9294)  3 Be 2.35-2.59
Ti (0.9294, 0.5155, 0.0905)  3 Be 2.35-2.59
Be (0.0843, 0.0843, 0.0843)  3 Ti 2.35, 3 Hf 2.44
Be (0.4437, 0.4437, 0.4437)  1 Be 2.07
Be (0.5610, 0.5610, 0.5610)  1 Be 2.07